Record 1
The following is a DFT calculation (PBE-GGA) of a relaxed YThAlAg crystal.

a = 7.412 Å, b = 7.412 Å, c = 7.412 Å
α = 90.00°, β = 90.00°, γ = 90.00°
Space group F-43m (No. 216)
Inequivalent atoms, fractional coordinates:
Y: 0.000 0.000 0.000 [4 per cell]
Th: 0.000 0.000 0.500 [4 per cell]
Al: 0.250 0.250 0.750 [4 per cell]
Ag: 0.250 0.250 0.250 [4 per cell]

Output
- Calculated formation energy: -0.2151 eV per atom

Record 2
The following is a DFT calculation (PBE-GGA) of a relaxed Th2Al4ZnAg3 crystal.

a = 4.385 Å, b = 4.385 Å, c = 10.647 Å
α = 90.00°, β = 90.00°, γ = 90.00°
Space group P-4m2 (No. 115)
Inequivalent atoms, fractional coordinates:
Th: 0.000 0.500 0.246 [2 per cell]
Al: 0.000 0.000 0.500 [1 per cell]
Al: 0.000 0.500 0.869 [2 per cell]
Al: 0.500 0.500 0.500 [1 per cell]
Zn: 0.500 0.500 0.000 [1 per cell]
Ag: 0.000 0.000 0.000 [1 per cell]
Ag: 0.000 0.500 0.632 [2 per cell]

Output
- Calculated formation energy: -0.3133 eV per atom

Record 3
The following is a DFT calculation (PBE-GGA) of a relaxed ThAlZn2Ag crystal.

a = 4.279 Å, b = 4.279 Å, c = 10.861 Å
α = 90.00°, β = 90.00°, γ = 90.00°
Space group I-4m2 (No. 119)
Inequivalent atoms, fractional coordinates:
Th: 0.000 0.000 0.000 [2 per cell]
Al: 0.000 0.500 0.250 [2 per cell]
Zn: 0.000 0.000 0.388 [4 per cell]
Ag: 0.000 0.500 0.750 [2 per cell]

Output
- Calculated formation energy: -0.2662 eV per atom

Record 4
The following is a DFT calculation (PBE-GGA) of a relaxed ThAlZnAg6 crystal.

a = 5.781 Å, b = 9.594 Å, c = 14.132 Å
α = 90.00°, β = 90.00°, γ = 90.00°
Space group Imma (No. 74)
Inequivalent atoms, fractional coordinates:
Th: 0.000 0.250 0.198 [4 per cell]
Al: 0.250 0.250 0.750 [4 per cell]
Zn: 0.000 0.000 0.500 [4 per cell]
Ag: 0.000 0.250 0.422 [4 per cell]
Ag: 0.000 0.250 0.947 [4 per cell]
Ag: 0.250 0.022 0.648 [16 per cell]

Output
- Calculated formation energy: 0.2444 eV per atom

Record 5
The following is a DFT calculation (PBE-GGA) of a relaxed ThAlZnAg3 crystal.

a = 6.686 Å, b = 12.565 Å, c = 6.055 Å
α = 90.00°, β = 90.00°, γ = 90.00°
Space group Cmcm (No. 63)
Inequivalent atoms, fractional coordinates:
Th: 0.000 0.207 0.250 [4 per cell]
Al: 0.000 0.444 0.250 [4 per cell]
Zn: 0.000 0.143 0.750 [4 per cell]
Ag: 0.000 0.348 0.750 [4 per cell]
Ag: 0.207 0.000 0.000 [8 per cell]

Output
- Calculated formation energy: 0.0433 eV per atom

Record 6
The following is a DFT calculation (PBE-GGA) of a relaxed Th3Al2Zn6Ag crystal.

a = 6.0430 Å, b = 6.0430 Å, c = 8.2105 Å
α = 90.00°, β = 90.00°, γ = 120.00°
Space group P-3m1 (No. 164)
Inequivalent atoms, fractional coordinates:
Th: 0.0000 0.0000 0.0000 [1 per cell]
Th: 0.3333 0.6667 0.6334 [2 per cell]
Al: 0.3333 0.6667 0.0159 [2 per cell]
Zn: 0.1872 0.3744 0.2860 [6 per cell]
Ag: 0.0000 0.0000 0.5000 [1 per cell]

Output
- Calculated formation energy: -0.0453 eV per atom

Record 7
The following is a DFT calculation (PBE-GGA) of a relaxed ThAlZn4Ag2 crystal.

a = 4.4234 Å, b = 4.4234 Å, c = 26.5288 Å
α = 90.00°, β = 90.00°, γ = 120.00°
Space group R-3m (No. 166, hexagonal axes)
Inequivalent atoms, fractional coordinates:
Th: 0.0000 0.0000 0.0000 [3 per cell]
Al: 0.0000 0.0000 0.5000 [3 per cell]
Zn: 0.0000 0.0000 0.1258 [6 per cell]
Zn: 0.0000 0.0000 0.3981 [6 per cell]
Ag: 0.0000 0.0000 0.2407 [6 per cell]

Output
- Calculated formation energy: -0.0765 eV per atom

Record 8
The following is a DFT calculation (PBE-GGA) of a relaxed ThAlZn6Ag crystal.

a = 5.312 Å, b = 10.120 Å, c = 13.842 Å
α = 90.00°, β = 90.00°, γ = 90.00°
Space group Imma (No. 74)
Inequivalent atoms, fractional coordinates:
Th: 0.000 0.250 0.181 [4 per cell]
Al: 0.250 0.250 0.750 [4 per cell]
Zn: 0.000 0.250 0.438 [4 per cell]
Zn: 0.000 0.250 0.945 [4 per cell]
Zn: 0.246 0.026 0.843 [16 per cell]
Ag: 0.000 0.000 0.500 [4 per cell]

Output
- Calculated formation energy: 0.2143 eV per atom

Record 9
The following is a DFT calculation (PBE-GGA) of a relaxed TiAlAg2 crystal.

a = 3.019 Å, b = 3.019 Å, c = 7.453 Å
α = 90.00°, β = 90.00°, γ = 90.00°
Space group P4/mmm (No. 123)
Inequivalent atoms, fractional coordinates:
Ti: 0.000 0.000 0.000 [1 per cell]
Al: 0.000 0.000 0.500 [1 per cell]
Ag: 0.500 0.500 0.264 [2 per cell]

Output
- Calculated formation energy: -0.0089 eV per atom

Record 10
The following is a DFT calculation (PBE-GGA) of a relaxed Ti2AlAg crystal.

a = 7.467 Å, b = 7.467 Å, c = 5.158 Å
α = 90.00°, β = 90.00°, γ = 90.00°
Space group I-42d (No. 122)
Inequivalent atoms, fractional coordinates:
Ti: 0.247 0.250 0.125 [8 per cell]
Al: 0.000 0.000 0.500 [4 per cell]
Ag: 0.000 0.000 0.000 [4 per cell]

Output
- Calculated formation energy: 0.2802 eV per atom

Calculated DOS(E_F) in order - 1.27, 0.65, 0.61, 0.54, 0.61, 0.66, 0.40, 0.40, 0.54, 1.22 states/eV per atom